Entry 1:
# BaPrAs2Pd2

An optimized crystal structure of BaPrAs2Pd2 (GGA-PBE, the Open Quantum Materials Database).

The crystal system is trigonal. The value obtained for the raw total energy is -5.477 eV per atom. Its magnetic moment is 0.001 μB per formula unit.

The structure in POSCAR format:
```
BaPrAs2Pd2
1.0
4.386 0.000 0.000
-2.193 3.798 0.000
0.000 0.000 8.717
Ba Pr As Pd
1 1 2 2
direct
0.000 0.000 0.000
0.000 0.000 0.500
0.333 0.667 0.274
0.667 0.333 0.726
0.333 0.667 0.729
0.667 0.333 0.271
```

=====

Entry 2:
# AcCdB

An optimized crystal structure of AcCdB (GGA-PBE, the Open Quantum Materials Database).

The crystal system is cubic. The energy above the most stable polymorph in this dataset comes out at 0.000 kcal/mol of atoms. Its magnetic moment is 0.002 μB per formula unit.

The structure in POSCAR format:
```
AcCdB
1.0
6.665 0.000 0.000
0.000 6.665 0.000
0.000 0.000 6.665
Ac Cd B
4 4 4
direct
0.000 0.000 0.000
0.000 0.500 0.500
0.500 0.000 0.500
0.500 0.500 0.000
0.000 0.000 0.500
0.000 0.500 0.000
0.500 0.000 0.000
0.500 0.500 0.500
0.250 0.250 0.250
0.250 0.750 0.750
0.750 0.250 0.750
0.750 0.750 0.250
```

=====

Entry 3:
# Rb2PdSeS

An optimized crystal structure of Rb2PdSeS (GGA-PBE, the Open Quantum Materials Database).

The crystal system is orthorhombic. The value obtained for the raw total energy is -3.821 eV per atom.

The structure in POSCAR format:
```
Rb2PdSeS
1.0
3.775 0.000 0.000
0.000 10.132 0.000
0.000 0.000 7.537
Rb Pd Se S
4 2 2 2
direct
0.000 0.193 0.000
0.000 0.807 0.000
0.500 0.307 0.500
0.500 0.693 0.500
0.000 0.000 0.479
0.500 0.500 0.979
0.000 0.500 0.199
0.500 0.000 0.699
0.000 0.500 0.778
0.500 0.000 0.278
```

=====

Entry 4:
# KTmAsO4

An optimized crystal structure of KTmAsO4 (GGA-PBE, the Open Quantum Materials Database).

The crystal system is trigonal. The value obtained for the raw total energy is -6.423 eV per atom. Its magnetic moment is 0.001 μB per formula unit.

The structure in POSCAR format:
```
KTmAsO4
1.0
2.805 1.620 8.842
-2.805 1.620 8.842
0.000 -3.239 8.842
K Tm As O
2 2 2 8
direct
0.209 0.209 0.209
0.791 0.791 0.791
0.341 0.341 0.341
0.659 0.659 0.659
0.052 0.052 0.052
0.948 0.948 0.948
0.023 0.389 0.719
0.116 0.116 0.116
0.281 0.977 0.611
0.389 0.719 0.023
0.611 0.281 0.977
0.719 0.023 0.389
0.884 0.884 0.884
0.977 0.611 0.281
```

=====

Entry 5:
# ErSi

An optimized crystal structure of ErSi (GGA-PBE, the Open Quantum Materials Database).

The crystal system is cubic. The value obtained for the raw total energy is -5.431 eV per atom. Its magnetic moment is 0.001 μB per formula unit.

The structure in POSCAR format:
```
ErSi
1.0
5.752 0.000 0.000
0.000 5.752 0.000
0.000 0.000 5.752
Er Si
4 4
direct
0.000 0.000 0.000
0.000 0.500 0.500
0.500 0.000 0.500
0.500 0.500 0.000
0.000 0.000 0.500
0.000 0.500 0.000
0.500 0.000 0.000
0.500 0.500 0.500
```

=====

Entry 6:
# Dy3In3IrPt2

An optimized crystal structure of Dy3In3IrPt2 (GGA-PBE, the Open Quantum Materials Database).

The crystal system is hexagonal. The value obtained for the raw total energy is -5.680 eV per atom. Its magnetic moment is 0.007 μB per formula unit.

The structure in POSCAR format:
```
Dy3In3IrPt2
1.0
7.624 0.000 0.000
-3.812 6.602 0.000
0.000 0.000 3.899
Dy In Ir Pt
3 3 1 2
direct
0.000 0.598 0.000
0.402 0.402 0.000
0.598 0.000 0.000
0.000 0.258 0.500
0.258 0.000 0.500
0.742 0.742 0.500
0.000 0.000 0.000
0.333 0.667 0.500
0.667 0.333 0.500
```

=====

Entry 7:
# Dy3TmSn2C2

An optimized crystal structure of Dy3TmSn2C2 (GGA-PBE, the Open Quantum Materials Database).

The crystal system is trigonal. The value obtained for the raw total energy is -6.141 eV per atom. Its magnetic moment is 0.034 μB per formula unit.

The structure in POSCAR format:
```
Dy3TmSn2C2
1.0
3.605 0.000 0.000
-1.803 3.122 0.000
0.000 0.000 15.813
Dy Tm Sn C
3 1 2 2
direct
0.000 0.000 0.000
0.000 0.000 0.331
0.333 0.667 0.501
0.333 0.667 0.832
0.000 0.000 0.667
0.333 0.667 0.166
0.667 0.333 0.416
0.667 0.333 0.915
```

=====

Entry 8:
# AcHfHg

An optimized crystal structure of AcHfHg (GGA-PBE, the Open Quantum Materials Database).

The crystal system is cubic. The energy above the most stable polymorph in this dataset comes out at 0.000 kcal/mol of atoms. Its magnetic moment is 1.202 μB per formula unit. The value obtained for the formation energy is 0.42 eV/atom.

The structure in POSCAR format:
```
AcHfHg
1.0
7.319 0.000 0.000
0.000 7.319 0.000
0.000 0.000 7.319
Ac Hf Hg
4 4 4
direct
0.000 0.000 0.000
0.000 0.500 0.500
0.500 0.000 0.500
0.500 0.500 0.000
0.000 0.000 0.500
0.000 0.500 0.000
0.500 0.000 0.000
0.500 0.500 0.500
0.250 0.250 0.250
0.250 0.750 0.750
0.750 0.250 0.750
0.750 0.750 0.250
```

=====

Entry 9:
# NaNiB

An optimized crystal structure of NaNiB (GGA-PBE, the Open Quantum Materials Database).

The crystal system is cubic. The value obtained for the raw total energy is -3.593 eV per atom. Its magnetic moment is 0.002 μB per formula unit.

The structure in POSCAR format:
```
NaNiB
1.0
5.429 0.000 0.000
0.000 5.429 0.000
0.000 0.000 5.429
Na Ni B
4 4 4
direct
0.000 0.000 0.000
0.000 0.500 0.500
0.500 0.000 0.500
0.500 0.500 0.000
0.000 0.000 0.500
0.000 0.500 0.000
0.500 0.000 0.000
0.500 0.500 0.500
0.250 0.250 0.250
0.250 0.750 0.750
0.750 0.250 0.750
0.750 0.750 0.250
```

=====

Entry 10:
# Ga2Mo3Ir2

An optimized crystal structure of Ga2Mo3Ir2 (GGA-PBE, the Open Quantum Materials Database).

The crystal system is trigonal. The value obtained for the raw total energy is -8.199 eV per atom. Its magnetic moment is 0.046 μB per formula unit.

The structure in POSCAR format:
```
Ga2Mo3Ir2
1.0
2.181 1.259 6.383
-2.181 1.259 6.383
0.000 -2.518 6.383
Ga Mo Ir
2 3 2
direct
0.000 0.000 0.000
0.426 0.426 0.426
0.283 0.283 0.283
0.568 0.568 0.568
0.857 0.857 0.857
0.142 0.142 0.142
0.713 0.713 0.713
```

=====

Entry 11:
# AlFe3

An optimized crystal structure of AlFe3 (GGA-PBE, the Open Quantum Materials Database).

The crystal system is cubic. The value obtained for the raw total energy is -7.368 eV per atom. Its magnetic moment is 5.912 μB per formula unit.

The structure in POSCAR format:
```
AlFe3
1.0
5.723 0.000 0.000
0.000 5.723 0.000
0.000 0.000 5.723
Al Fe
4 12
direct
0.000 0.000 0.000
0.000 0.500 0.500
0.500 0.000 0.500
0.500 0.500 0.000
0.000 0.000 0.500
0.000 0.500 0.000
0.250 0.250 0.250
0.250 0.250 0.750
0.250 0.750 0.250
0.250 0.750 0.750
0.500 0.000 0.000
0.500 0.500 0.500
0.750 0.250 0.250
0.750 0.250 0.750
0.750 0.750 0.250
0.750 0.750 0.750
```

=====

Entry 12:
# NdY2Al2Ni4

An optimized crystal structure of NdY2Al2Ni4 (GGA-PBE, the Open Quantum Materials Database).

The crystal system is monoclinic. The value obtained for the raw total energy is -5.815 eV per atom. Its magnetic moment is 0.001 μB per formula unit.

The structure in POSCAR format:
```
NdY2Al2Ni4
1.0
4.968 -2.063 0.000
4.968 2.063 0.000
-1.203 0.000 8.056
Nd Y Al Ni
1 2 2 4
direct
0.000 0.000 0.000
0.374 0.374 0.617
0.626 0.626 0.383
0.322 0.322 0.221
0.678 0.678 0.779
0.084 0.084 0.631
0.265 0.265 0.914
0.735 0.735 0.086
0.916 0.916 0.369
```